Entry from the Alexandria database: a relaxed structure of Er2TmCd (PBE).

a b c (Å): 3.535 3.535 9.000
angles (deg): 90.00 90.00 90.00
Space group P4/mmm (No. 123)
One atom of each set of equivalent atoms:
Er: 0.000 0.000 0.231
Tm: 0.500 0.500 0.500
Cd: 0.500 0.500 0.000

formation energy = -0.1412 eV/atom
relative energy among the computed polymorphs = 0 meV per atom
volume = 112.5 Å³/f.u.
size of the total moment = 0.0 μB/f.u.

---

Entry from the Alexandria database: a relaxed structure of ReTe2Ir (PBE).

a b c (Å): 3.137 5.248 9.411
angles (deg): 90.00 90.00 90.00
Space group Cmmm (No. 65)
One atom of each set of equivalent atoms:
Re: 0.000 0.000 0.000
Te: 0.000 0.500 0.245
Ir: 0.000 0.000 0.500

formation energy without anion corrections = 1.054 eV per atom
relative energy among the computed polymorphs = 832 meV per atom
volume = 77.5 Å³/f.u.
size of the total moment = 0.0 μB/f.u.

---

Entry from the Alexandria database: a relaxed structure of SrVAu (PBE).

a b c (Å): 7.214 4.795 9.421
angles (deg): 90.00 91.50 90.00
Space group Cm (No. 8)
One atom of each set of equivalent atoms:
Sr: 0.000 0.000 0.000
Sr: 0.197 0.500 0.597
V: 0.054 0.000 0.350
V: 0.306 0.000 0.307
Au: 0.175 0.500 0.237
Au: 0.348 0.000 0.797

formation energy = -0.0279 eV/atom
relative energy among the computed polymorphs = 2 meV per atom
volume = 81.4 Å³/f.u.
size of the total moment = 0.0 μB/f.u.

---

Entry from the Alexandria database: a relaxed structure of HoSc3Tc (PBE).

a b c (Å): 8.325 3.472 8.345
angles (deg): 90.00 105.91 90.00
Space group P2_1/m (No. 11)
One atom of each set of equivalent atoms:
Ho: 0.055 0.250 0.172
Sc: 0.192 0.250 0.643
Sc: 0.346 0.750 0.019
Sc: 0.359 0.750 0.402
Tc: 0.454 0.750 0.738

formation energy = -0.0923 eV/atom
relative energy among the computed polymorphs = 0 meV per atom
volume = 116.0 Å³/f.u.
size of the total moment = 0.0 μB/f.u.

---

Entry from the Alexandria database: a relaxed structure of La2Sc3Tl4 (PBE).

a b c (Å): 6.872 16.706 8.783
angles (deg): 90.00 90.00 90.00
Space group Cmce (No. 64)
One atom of each set of equivalent atoms:
La: 0.000 0.111 0.082
Sc: 0.000 0.000 0.500
Sc: 0.250 0.218 0.750
Tl: 0.000 0.182 0.458
Tl: 0.250 0.043 0.750

formation energy = -0.2771 eV/atom
volume = 252.0 Å³/f.u.
size of the total moment = 0.0 μB/f.u.

---

Entry from the Alexandria database: a relaxed structure of Na4SmDy3S8 (PBE).

a b c (Å): 8.0173 8.0173 20.0508
angles (deg): 90.00 90.00 120.00
Space group R-3m (No. 166, hexagonal axes)
One atom of each set of equivalent atoms:
Na: 0.0000 0.0000 0.0000
Na: 0.0000 0.5000 0.0000
Sm: 0.0000 0.0000 0.5000
Dy: 0.0000 0.5000 0.5000
S: 0.0000 0.0000 0.2420
S: 0.0048 0.5024 0.7573

formation energy without anion corrections = -1.840 eV per atom
volume = 372.0 Å³/f.u.
size of the total moment = 0.0 μB/f.u.

---

Entry from the Alexandria database: a relaxed structure of BaCaOs (PBE).

a b c (Å): 5.0559 5.0559 3.5189
angles (deg): 90.00 90.00 120.00
Space group P3m1 (No. 156)
One atom of each set of equivalent atoms:
Ba: 0.0000 0.0000 0.0000
Ca: 0.6667 0.3333 0.4828
Os: 0.3333 0.6667 0.9109

formation energy = 0.7895 eV/atom
relative energy among the computed polymorphs = 160 meV per atom
volume = 77.9 Å³/f.u.
size of the total moment = 0.0 μB/f.u.

---

Entry from the Alexandria database: a relaxed structure of Fe2AgPb (PBE).

a b c (Å): 3.156 3.156 7.099
angles (deg): 90.00 90.00 90.00
Space group P4mm (No. 99)
One atom of each set of equivalent atoms:
Fe: 0.000 0.000 0.000
Fe: 0.500 0.500 0.149
Ag: 0.500 0.500 0.759
Pb: 0.000 0.000 0.428

formation energy = 0.3513 eV/atom
volume = 70.7 Å³/f.u.
size of the total moment = 5.3 μB/f.u.